A relaxed structure of SrPd2Au2. Source: Alexandria via LeMat-Bulk, functional PBE.

Summary:
Energy above the most stable polymorph in this dataset = 7.6 kJ per mole of atoms
Space-group type = P4/mbm
Formation energy = -0.342 eV/atom

The structure in CIF format:
```
data_SrPd2Au2
_symmetry_space_group_name_H-M 'P 1'
_symmetry_Int_Tables_number 1
_cell_length_a 7.8616
_cell_length_b 7.8616
_cell_length_c 3.2731
_cell_angle_alpha 90.00
_cell_angle_beta 90.00
_cell_angle_gamma 90.00
loop_
_symmetry_equiv_pos_as_xyz
'x,y,z'
loop_
_atom_site_label
_atom_site_type_symbol
_atom_site_fract_x
_atom_site_fract_y
_atom_site_fract_z
Sr1 Sr 0.0000 0.0000 0.0000
Sr2 Sr 0.5000 0.5000 0.0000
Pd1 Pd 0.1665 0.3335 0.5000
Pd2 Pd 0.3335 0.8335 0.5000
Pd3 Pd 0.6665 0.1665 0.5000
Pd4 Pd 0.8335 0.6665 0.5000
Au1 Au 0.1299 0.6299 0.0000
Au2 Au 0.3701 0.1299 0.0000
Au3 Au 0.6299 0.8701 0.0000
Au4 Au 0.8701 0.3701 0.0000
```

=====

A relaxed structure of AlZnO. Source: Alexandria via LeMat-Bulk, functional PBE.

Summary:
Space-group type = Amm2
Uncorrected energy = -4.4381 eV/atom

The structure in CIF format:
```
data_AlZnO
_symmetry_space_group_name_H-M 'P 1'
_symmetry_Int_Tables_number 1
_cell_length_a 10.8823
_cell_length_b 2.8033
_cell_length_c 2.8033
_cell_angle_alpha 59.34
_cell_angle_beta 90.00
_cell_angle_gamma 90.00
loop_
_symmetry_equiv_pos_as_xyz
'x,y,z'
loop_
_atom_site_label
_atom_site_type_symbol
_atom_site_fract_x
_atom_site_fract_y
_atom_site_fract_z
Al1 Al 0.0000 0.0000 0.0000
Al2 Al 0.5000 0.1033 0.1033
Zn1 Zn 0.2156 0.3096 0.3096
Zn2 Zn 0.7844 0.3096 0.3096
O1 O 0.3964 0.7737 0.7737
O2 O 0.6036 0.7737 0.7737
```

=====

A relaxed structure of UOsRu. Source: Alexandria via LeMat-Bulk, functional PBE.

Summary:
Energy above the most stable polymorph in this dataset = 18.5 kJ per mole of atoms
Space-group type = Cmcm
Formation energy = 0.045 eV/atom

The structure in CIF format:
```
data_UOsRu
_symmetry_space_group_name_H-M 'P 1'
_symmetry_Int_Tables_number 1
_cell_length_a 4.1625
_cell_length_b 4.1625
_cell_length_c 6.6365
_cell_angle_alpha 90.00
_cell_angle_beta 90.00
_cell_angle_gamma 102.52
loop_
_symmetry_equiv_pos_as_xyz
'x,y,z'
loop_
_atom_site_label
_atom_site_type_symbol
_atom_site_fract_x
_atom_site_fract_y
_atom_site_fract_z
U1 U 0.0000 0.0000 0.0000
U2 U 0.0000 0.0000 0.5000
Os1 Os 0.3055 0.6945 0.7500
Os2 Os 0.6945 0.3055 0.2500
Ru1 Ru 0.2984 0.7016 0.2500
Ru2 Ru 0.7016 0.2984 0.7500
```

=====

A relaxed structure of PrAsRh3. Source: Alexandria via LeMat-Bulk, functional PBE.

Summary:
Energy above the most stable polymorph in this dataset = 9.4 kJ per mole of atoms
Space-group type = Imma
Formation energy = -0.591 eV/atom

The structure in CIF format:
```
data_PrAsRh3
_symmetry_space_group_name_H-M 'P 1'
_symmetry_Int_Tables_number 1
_cell_length_a 6.4115
_cell_length_b 6.4115
_cell_length_c 6.4115
_cell_angle_alpha 129.22
_cell_angle_beta 105.96
_cell_angle_gamma 95.32
loop_
_symmetry_equiv_pos_as_xyz
'x,y,z'
loop_
_atom_site_label
_atom_site_type_symbol
_atom_site_fract_x
_atom_site_fract_y
_atom_site_fract_z
Pr1 Pr 0.2557 0.0057 0.2500
Pr2 Pr 0.7443 0.9943 0.7500
As1 As 0.0000 0.5000 0.5000
As2 As 0.5000 0.5000 0.0000
Rh1 Rh 0.0762 0.3262 0.7500
Rh2 Rh 0.2924 0.0000 0.7924
Rh3 Rh 0.2924 0.5000 0.2924
Rh4 Rh 0.7076 0.0000 0.2076
Rh5 Rh 0.7076 0.5000 0.7076
Rh6 Rh 0.9238 0.6738 0.2500
```